# Na2TiPd (PBE, relaxed)
# - E_tot: -53.2 eV/cell
# - Spin magnetization: 9.81 Bohr magnetons per cell
# - Energy of formation: 609.3 meV/atom
# - Offset from the most stable computed form: 62 meV/atom
# - N(E_F): 2.180 states/eV/atom
data_Na2TiPd
_cell_length_a 6.9174
_cell_length_b 6.9174
_cell_length_c 6.9174
_cell_angle_alpha 90.00
_cell_angle_beta 90.00
_cell_angle_gamma 90.00
_space_group_name_H-M_alt 'F m -3 m'
_space_group_IT_number 225
_space_group_name_Hall '-F 4 2 3'
loop_
_atom_site_label
_atom_site_type_symbol
_atom_site_fract_x
_atom_site_fract_y
_atom_site_fract_z
Na1 Na 0.2500 0.2500 0.2500
Ti1 Ti 0.0000 0.0000 0.0000
Pd1 Pd 0.0000 0.0000 0.5000